! BiP4O12 (meta-GGA SCAN, single point on PBEsol structure); values from VASP
! VASP energy = -13.533 eV per atom
! magnetic moment = 0.00 μB/cell
! formation energy from raw total energies = -2.07 eV per atom
! distance to the lowest polymorph of the same formula = 0.0141 eV/atom
&SYSTEM
  ibrav = 0, nat = 34, ntyp = 3
/
ATOMIC_SPECIES
Bi 208.98 Bi.upf
P 30.97 P.upf
O 16.00 O.upf
ATOMIC_POSITIONS crystal
Bi 0.7596 0.7530 0.7531
Bi 0.2404 0.2470 0.2531
P 0.9019 0.9053 0.3378
P 0.5641 0.9089 0.1251
P 0.9974 0.3806 0.6029
P 0.4359 0.0911 0.6251
P 0.6089 0.4062 0.5030
P 0.0981 0.0947 0.8378
P 0.3911 0.5938 0.0030
P 0.0026 0.6194 0.1029
O 0.9941 0.2067 0.7076
O 0.6053 0.5917 0.5526
O 0.8342 0.6147 0.9973
O 0.6899 0.9112 0.2814
O 0.5921 0.9694 0.6432
O 0.3275 0.0646 0.4729
O 0.3947 0.4083 0.0526
O 0.0172 0.9142 0.8254
O 0.3101 0.0888 0.7814
O 0.0918 0.1798 0.9986
O 0.8173 0.3432 0.4970
O 0.5259 0.3632 0.3422
O 0.0059 0.7933 0.2076
O 0.6725 0.9354 0.9729
O 0.4079 0.0306 0.1432
O 0.4741 0.6368 0.8422
O 0.0264 0.4672 0.2112
O 0.9828 0.0858 0.3254
O 0.9736 0.5328 0.7112
O 0.5188 0.2859 0.6402
O 0.9082 0.8202 0.4986
O 0.1827 0.6568 0.9970
O 0.1658 0.3853 0.4973
O 0.4812 0.7141 0.1402
CELL_PARAMETERS angstrom
7.2295 0.0439 0.0000
-0.2827 7.7517 0.0000
0.0000 0.0000 8.3244